Below is a geometry-optimized BaPm6O8 structure, with properties calculated at the PBE level.

Summary:
calculated total energy = -7.36 eV/atom
raw formation energy = -40.260 eV/f.u.
total moment = 0.13 μB per atom
DOS(E_F) = 5.85 states/eV/f.u.
space-group type = No. 148

Cell: 6.966 6.966 7.229 Å, 61.20 61.20 60.00°
Each line ends with the local moment (μB).
Element x y z (fractional)
O  0.377  0.837  0.665  0.01
O  0.673  0.673  0.980  0.00
O  0.879  0.623  0.335  0.01
O  0.121  0.377  0.665  0.01
O  0.327  0.327  0.020  0.00
O  0.623  0.163  0.335  0.01
O  0.837  0.121  0.665  0.01
O  0.163  0.879  0.335  0.01
Pm  0.905  0.308  0.278  0.12
Pm  0.509  0.905  0.278  0.12
Pm  0.095  0.692  0.722  0.12
Pm  0.692  0.491  0.722  0.12
Pm  0.308  0.509  0.278  0.12
Pm  0.491  0.095  0.722  0.12
Ba  0.000  0.000  0.000  0.40



Below is a geometry-optimized Ge2Os2W structure, with properties calculated at the PBE level.

Summary:
calculated total energy = -8.16 eV/atom
total moment = 0.00 μB per atom
DFT formation energy = 3.85 eV per formula unit
DOS(E_F) = 4.74 states/eV/f.u.
offset from the most stable computed form = 0.3773 eV/atom
space-group type = No. 139

Cell: 4.140 4.140 5.598 Å, 68.30 68.30 90.00°
Element x y z (fractional)
Ge  0.620  0.620  0.760
Ge  0.380  0.380  0.240
Os  0.250  0.750  0.500
Os  0.750  0.250  0.500
W  0.000  0.000  0.000



Below is a geometry-optimized Sc2TiCoSb structure, with properties calculated at the PBE level.

Summary:
calculated total energy = -5.56 eV/atom
raw formation energy = 4.003 eV/f.u.
total moment = 0.39 μB per atom
DOS(E_F) = 6.72 states/eV/f.u.
space-group type = No. 123

Cell: 4.829 5.087 4.829 Å, 90.00 90.00 90.00°
Each line ends with the local moment (μB).
Element x y z (fractional)
Sc  0.000  0.000  0.500  -0.01
Sc  0.500  0.000  0.000  -0.02
Co  0.500  0.500  0.500  1.92
Sb  0.000  0.500  0.000  0.00
Ti  0.000  0.000  0.000  0.18



Below is a geometry-optimized BC2 structure, with properties calculated at the PBE level.

Summary:
calculated total energy = -8.07 eV/atom
total moment = 0.00 μB per atom
DFT formation energy = 0.92 eV per formula unit
DOS(E_F) = 0.53 states/eV/f.u.
offset from the most stable computed form = 0.0674 eV/atom
space-group type = No. 8

Cell: 4.373 4.373 8.158 Å, 118.49 118.49 33.37°
Element x y z (fractional)
B  0.198  0.198  0.240
B  0.641  0.641  0.359
B  0.029  0.029  0.994
B  0.329  0.329  0.134
C  0.334  0.334  0.672
C  0.167  0.167  0.702
C  0.849  0.849  0.018
C  0.457  0.457  0.387
C  0.825  0.825  0.559
C  0.675  0.675  0.820
C  0.980  0.980  0.510
C  0.515  0.515  0.855



Below is a geometry-optimized Nd2Ni3Ge4Ir structure, with properties calculated at the PBE level.

Summary:
calculated total energy = -6.13 eV/atom
total moment = 0.00 μB per atom
DFT formation energy = -7.13 eV per formula unit
DOS(E_F) = 5.83 states/eV/f.u.
space-group type = No. 115

Cell: 4.155 4.155 9.959 Å, 90.00 90.00 90.00°
Element x y z (fractional)
Ge  0.000  0.500  0.362
Ge  0.500  0.500  0.000
Ge  0.500  0.000  0.638
Ge  0.000  0.000  0.000
Ni  0.000  0.500  0.122
Ni  0.500  0.000  0.878
Ni  0.000  0.000  0.500
Nd  0.000  0.500  0.757
Nd  0.500  0.000  0.243
Ir  0.500  0.500  0.500



Below is a geometry-optimized Sm2DyY5Ho structure, with properties calculated at the PBE level.

Summary:
calculated total energy = -5.39 eV/atom
total moment = 0.00 μB per atom
DFT formation energy = 2.40 eV per formula unit
DOS(E_F) = 11.86 states/eV/f.u.
space-group type = No. 140

Cell: 8.665 8.665 9.916 Å, 115.91 115.91 90.00°
Element x y z (fractional)
Y  0.652  0.152  0.723
Y  0.848  0.929  0.277
Y  0.000  0.000  0.000
Y  0.152  0.071  0.723
Y  0.429  0.348  0.277
Y  0.071  0.571  0.723
Y  0.348  0.848  0.277
Y  0.571  0.652  0.723
Y  0.929  0.429  0.277
Y  0.500  0.500  0.000
Sm  0.117  0.383  0.000
Sm  0.883  0.617  0.000
Sm  0.383  0.883  0.000
Sm  0.617  0.117  0.000
Dy  0.250  0.250  0.500
Dy  0.750  0.750  0.500
Ho  0.250  0.750  0.500
Ho  0.750  0.250  0.500



Below is a geometry-optimized LaBe2As structure, with properties calculated at the PBE level.

Summary:
calculated total energy = -4.08 eV/atom
total moment = 0.00 μB per atom
DFT formation energy = 0.71 eV per formula unit
DOS(E_F) = 1.77 states/eV/f.u.
space-group type = No. 139

Cell: 5.017 5.017 5.017 Å, 129.47 129.47 74.25°
Element x y z (fractional)
Be  0.000  0.000  0.000
Be  0.500  0.500  0.000
La  0.250  0.750  0.500
As  0.750  0.250  0.500



Below is a geometry-optimized LaTbHf structure, with properties calculated at the PBE level.

Summary:
calculated total energy = -6.35 eV/atom
total moment = 0.00 μB per atom
DFT formation energy = 0.46 eV per formula unit
DOS(E_F) = 4.44 states/eV/f.u.
offset from the most stable computed form = 0.0407 eV/atom
space-group type = No. 107

Cell: 3.375 3.375 8.148 Å, 101.95 101.95 90.00°
Element x y z (fractional)
Hf  0.661  0.661  0.322
La  0.323  0.323  0.646
Tb  0.016  0.016  0.032



Below is a geometry-optimized CaCS structure, with properties calculated at the PBE level.

Summary:
calculated total energy = -5.88 eV/atom
raw formation energy = -2.273 eV/f.u.
total moment = 0.00 μB per atom
DOS(E_F) = 0.00 states/eV/f.u.
offset from the most stable computed form = 0.0757 eV/atom
space-group type = No. 1

Cell: 4.417 5.190 5.664 Å, 94.33 91.30 109.70°
Element x y z (fractional)
S  0.367  0.914  0.628
S  0.679  0.579  0.947
Ca  0.316  0.920  0.144
Ca  0.027  0.290  0.647
C  0.832  0.386  0.104
C  0.976  0.241  0.193



Below is a geometry-optimized Th2Tc12B7 structure, with properties calculated at the PBE level.

Summary:
calculated total energy = -8.99 eV/atom
total moment = 0.00 μB per atom
DFT formation energy = -2.74 eV per formula unit
DOS(E_F) = 16.14 states/eV/f.u.
space-group type = No. 147

Cell: 3.108 10.153 10.153 Å, 120.00 90.00 90.00°
Element x y z (fractional)
Th  0.250  0.333  0.667
Th  0.750  0.667  0.333
B  0.249  0.884  0.294
B  0.751  0.116  0.706
B  0.249  0.706  0.590
B  0.249  0.410  0.116
B  0.751  0.294  0.410
B  0.751  0.590  0.884
B  0.500  0.000  0.000
Tc  0.254  0.622  0.053
Tc  0.746  0.378  0.947
Tc  0.740  0.866  0.116
Tc  0.746  0.568  0.622
Tc  0.746  0.053  0.432
Tc  0.260  0.116  0.250
Tc  0.740  0.250  0.134
Tc  0.254  0.947  0.568
Tc  0.260  0.750  0.866
Tc  0.740  0.884  0.750
Tc  0.260  0.134  0.884
Tc  0.254  0.432  0.378



Below is a geometry-optimized NaNp2O8 structure, with properties calculated at the PBE level.

Summary:
calculated total energy = -8.26 eV/atom
raw formation energy = -24.021 eV/f.u.
total moment = 0.06 μB per atom
DOS(E_F) = 7.14 states/eV/f.u.
space-group type = No. 12

Cell: 4.533 6.510 6.510 Å, 69.93 89.67 89.67°
Each line ends with the local moment (μB).
Element x y z (fractional)
O  0.244  0.133  0.623  0.05
O  0.756  0.377  0.867  0.05
O  0.746  0.805  0.805  0.10
O  0.254  0.195  0.195  0.10
O  0.244  0.623  0.133  0.05
O  0.756  0.867  0.377  0.05
O  0.250  0.568  0.568  0.06
O  0.750  0.432  0.432  0.06
Np  0.250  0.371  0.371  0.04
Np  0.750  0.629  0.629  0.04
Na  0.000  0.000  0.000  0.00



Below is a geometry-optimized Ba2CeBe2P4 structure, with properties calculated at the PBE level.

Summary:
calculated total energy = -5.24 eV/atom
total moment = 0.00 μB per atom
DFT formation energy = -8.27 eV per formula unit
space-group type = No. 12

Cell: 4.018 7.437 7.737 Å, 110.12 105.05 90.00°
Element x y z (fractional)
Be  0.674  0.976  0.348
Be  0.326  0.024  0.652
Ce  0.000  0.000  0.000
Ba  0.862  0.422  0.724
Ba  0.138  0.578  0.276
P  0.796  0.853  0.591
P  0.475  0.240  0.949
P  0.204  0.147  0.409
P  0.525  0.760  0.051